(1)
Density functional theory data (GGA-PBE) for a relaxed structure of Cu2AgMo.

Calculated values
The calculation puts the density of states at the Fermi level at 9.7 states/eV/cell. For the formation energy, the calculation gives 0.900 eV per atom. As for the uncorrected energy: -36.5 eV for the cell shown. Its calculated volume is 15.9 Å³ per atom. As for the magnetic moment: 0.000 μB/f.u. For the offset from the most stable computed form, the calculation gives 697 meV per atom.

abc: 6.8540 6.8540 5.5514
angles: 51.88 51.88 90.00
Last column: nearest neighbours and their distance in Å.
Atoms (fractional coordinates):
1 Mo 0.5000 0.5000 0.0000  4 Cu 2.49, 2 Ag 2.71
2 Mo 0.2500 0.7500 0.5000  4 Cu 2.49, 2 Ag 2.71
3 Cu 0.6193 0.1250 0.2500  2 Mo 2.49, 2 Ag 2.54, 2 Cu 2.71
4 Cu 0.1307 0.6250 0.2500  2 Mo 2.49, 2 Ag 2.54, 2 Cu 2.71
5 Cu 0.3750 0.3807 0.7500  2 Mo 2.49, 2 Ag 2.54, 2 Cu 2.71
6 Cu 0.8750 0.8693 0.7500  2 Mo 2.49, 2 Ag 2.54, 2 Cu 2.71
7 Ag 0.0000 0.0000 0.0000  4 Cu 2.54, 2 Mo 2.71
8 Ag 0.7500 0.2500 0.5000  4 Cu 2.54, 2 Mo 2.71



(2)
Density functional theory data (GGA-PBE) for a relaxed structure of SrHgIr2.

Calculated values
The calculation puts the density of states at the Fermi level at 4.6 states/eV/cell. For the formation energy, the calculation gives 0.469 eV per atom. As for the uncorrected energy: -17.8 eV for the cell shown. Its calculated volume is 19.6 Å³ per atom. As for the magnetic moment: 0.000 μB/f.u.

abc: 5.2013 5.2013 3.0610
angles: 90.00 90.00 108.80
Last column: nearest neighbours and their distance in Å.
Atoms (fractional coordinates):
1 Hg 0.0000 0.5000 0.5000  8 Ir 3.02, 2 Sr 3.03, 2 Hg 3.06
2 Ir 0.0000 0.0000 0.0000  4 Hg 3.02, 4 Sr 3.02, 4 Ir 3.03-3.06
3 Ir 0.5000 0.5000 0.0000  4 Sr 3.02, 4 Hg 3.02, 4 Ir 3.03-3.06
4 Sr 0.5000 0.0000 0.5000  8 Ir 3.02, 2 Hg 3.03, 2 Sr 3.06



(3)
Density functional theory data (GGA-PBE) for a relaxed structure of Be2SeBr.

Calculated values
The calculation puts the density of states at the Fermi level at 2.3 states/eV/cell. As for the uncorrected energy: -12.3 eV for the cell shown. Its calculated volume is 23.8 Å³ per atom. For the uncorrected formation energy, the calculation gives 85 meV/atom. As for the magnetic moment: 0.000 μB/f.u. For the offset from the most stable computed form, the calculation gives 382 meV per atom.

abc: 4.0878 4.0878 7.1926
angles: 90.00 90.00 127.53
Last column: nearest neighbours and their distance in Å.
Atoms (fractional coordinates):
1 Be 0.0000 0.0000 0.0108  2 Se 2.05, 2 Be 2.25
2 Be 0.5000 0.5000 0.1981  2 Be 2.25, 1 Se 2.32, 2 Br 2.39
3 Se 0.5000 0.5000 0.8760  2 Be 2.05
4 Br 0.0000 0.0000 0.4152  2 Be 2.39